(1)
VASP calculation (PBE) on crystalline Pu2AlNi3Ge4 at its relaxed geometry.

Values from the calculation:
DFT total energy	-7.31	eV per atom
formation energy from the elements	-485	meV per atom

Cell lengths 4.077, 4.077, 10.184 Å; angles 90.00, 90.00, 90.00 degrees
Space group P-4m2 (No. 115)
Asymmetric unit:
1 Pu 0.000 0.500 0.240 (multiplicity 2)
2 Al 0.000 0.000 0.500 (multiplicity 1)
3 Ni 0.000 0.500 0.878 (multiplicity 2)
4 Ni 0.500 0.500 0.500 (multiplicity 1)
5 Ge 0.000 0.000 0.000 (multiplicity 1)
6 Ge 0.000 0.500 0.648 (multiplicity 2)
7 Ge 0.500 0.500 0.000 (multiplicity 1)

***

(2)
VASP calculation (PBE) on crystalline Pr3Nd4Ag4 at its relaxed geometry.

Values from the calculation:
DFT total energy	-4.16	eV per atom
formation energy from the elements	-89	meV per atom

Cell lengths 5.205, 7.673, 16.509 Å; angles 90.00, 90.00, 90.00 degrees
Space group Immm (No. 71)
Asymmetric unit:
1 Pr 0.000 0.000 0.000 (multiplicity 2)
2 Pr 0.000 0.500 0.102 (multiplicity 4)
3 Nd 0.000 0.276 0.325 (multiplicity 8)
4 Ag 0.000 0.000 0.193 (multiplicity 4)
5 Ag 0.000 0.185 0.500 (multiplicity 4)

***

(3)
VASP calculation (PBE) on crystalline La3BiIr at its relaxed geometry.

Values from the calculation:
DFT total energy	-6.29	eV per atom
formation energy from the elements	-782	meV per atom

Cell lengths 4.426, 13.373, 10.977 Å; angles 90.00, 90.00, 90.00 degrees
Space group Cmcm (No. 63)
Asymmetric unit:
1 La 0.000 0.060 0.250 (multiplicity 4)
2 La 0.000 0.362 0.043 (multiplicity 8)
3 Bi 0.000 0.242 0.750 (multiplicity 4)
4 Ir 0.000 0.000 0.000 (multiplicity 4)

***

(4)
VASP calculation (PBE) on crystalline NdHo2Hg2 at its relaxed geometry.

Values from the calculation:
DFT total energy	-3.29	eV per atom
formation energy from the elements	-384	meV per atom

Cell lengths 3.735, 5.384, 13.876 Å; angles 90.00, 97.73, 90.00 degrees
Space group P2_1/m (No. 11)
Asymmetric unit:
1 Nd 0.148 0.250 0.293 (multiplicity 2)
2 Ho 0.049 0.750 0.096 (multiplicity 2)
3 Ho 0.236 0.750 0.473 (multiplicity 2)
4 Hg 0.355 0.250 0.712 (multiplicity 2)
5 Hg 0.455 0.750 0.911 (multiplicity 2)

***

(5)
VASP calculation (PBE) on crystalline Ho6Er2Tm3Mg at its relaxed geometry.

Values from the calculation:
DFT total energy	-4.27	eV per atom
formation energy from the elements	32	meV per atom

Cell lengths 6.055, 10.490, 11.540 Å; angles 90.00, 100.14, 90.00 degrees
Space group C2/m (No. 12)
Asymmetric unit:
1 Ho 0.249 0.000 0.250 (multiplicity 4)
2 Ho 0.249 0.333 0.249 (multiplicity 8)
3 Er 0.000 0.166 0.000 (multiplicity 4)
4 Tm 0.000 0.000 0.500 (multiplicity 2)
5 Tm 0.000 0.334 0.500 (multiplicity 4)
6 Mg 0.000 0.500 0.000 (multiplicity 2)

***

(6)
VASP calculation (PBE) on crystalline Ga2SBr2 at its relaxed geometry.

Values from the calculation:
DFT total energy	-3.36	eV per atom

Cell lengths 6.672, 7.531, 7.686 Å; angles 111.01, 91.13, 91.49 degrees
Space group P-1 (No. 2)
Asymmetric unit:
1 Ga 0.007 0.141 0.144 (multiplicity 2)
2 Ga 0.492 0.859 0.856 (multiplicity 2)
3 S 0.234 0.689 0.683 (multiplicity 2)
4 Br 0.260 0.069 0.361 (multiplicity 2)
5 Br 0.263 0.371 0.087 (multiplicity 2)